No. 1
A relaxed La2NdGaBr3 crystal. Source: OQMD, functional GGA-PBE.

- E: -4.612 eV per atom
- Total moment: 0.00 μB/f.u.

a = 6.100 Å, b = 6.100 Å, c = 6.080 Å
α = 90.00°, β = 90.00°, γ = 90.00°
Fractional positions:
La 0.000 0.500 0.000
La 0.500 0.000 0.000
Nd 0.000 0.000 0.500
Ga 0.000 0.000 0.000
Br 0.000 0.500 0.500
Br 0.500 0.000 0.500
Br 0.500 0.500 0.000

No. 2
A relaxed Np2Al3Zn crystal. Source: OQMD, functional GGA-PBE.

- E: -6.525 eV per atom
- Total moment: 7.38 μB/f.u.

a = 5.598 Å, b = 5.598 Å, c = 8.309 Å
α = 90.00°, β = 90.00°, γ = 120.00°
Fractional positions:
Np 0.333 0.667 0.094
Np 0.333 0.667 0.406
Np 0.667 0.333 0.594
Np 0.667 0.333 0.906
Al 0.172 0.344 0.750
Al 0.172 0.828 0.750
Al 0.344 0.172 0.250
Al 0.656 0.828 0.750
Al 0.828 0.172 0.250
Al 0.828 0.656 0.250
Zn 0.000 0.000 0.000
Zn 0.000 0.000 0.500

No. 3
A relaxed CsGdPt crystal. Source: OQMD, functional GGA-PBE.

- E: -3.756 eV per atom
- Total moment: 0.00 μB/f.u.

a = 5.183 Å, b = 5.183 Å, c = 5.183 Å
α = 60.00°, β = 60.00°, γ = 60.00°
Fractional positions:
Cs 0.000 0.000 0.000
Gd 0.500 0.500 0.500
Pt 0.250 0.250 0.250

No. 4
A relaxed NbInMo2 crystal. Source: OQMD, functional GGA-PBE.

- E: -8.332 eV per atom
- Total moment: 0.18 μB/f.u.

a = 4.632 Å, b = 4.632 Å, c = 4.632 Å
α = 60.00°, β = 60.00°, γ = 60.00°
Fractional positions:
Nb 0.000 0.000 0.000
In 0.750 0.750 0.750
Mo 0.250 0.250 0.250
Mo 0.500 0.500 0.500

No. 5
A relaxed PtW2 crystal. Source: OQMD, functional GGA-PBE.

- E: -6.936 eV per atom
- Formation energy from the elements: 3723 meV per atom
- Total moment: 7.22 μB/f.u.
- Offset from the most stable computed form: 3603 meV/atom

a = 8.128 Å, b = 8.128 Å, c = 8.128 Å
α = 60.00°, β = 60.00°, γ = 60.00°
Fractional positions:
Pt 0.125 0.125 0.125
Pt 0.875 0.875 0.875
W 0.000 0.000 0.000
W 0.000 0.000 0.500
W 0.000 0.500 0.000
W 0.500 0.000 0.000

No. 6
A relaxed Ho4Mg3As crystal. Source: OQMD, functional GGA-PBE.

- E: -3.594 eV per atom
- Total moment: 0.04 μB/f.u.

a = 6.840 Å, b = 6.840 Å, c = 6.840 Å
α = 121.98°, β = 86.54°, γ = 122.05°
Fractional positions:
Ho 0.197 0.000 0.197
Ho 0.667 0.409 0.741
Ho 0.667 0.926 0.259
Ho 0.803 0.000 0.803
Mg 0.220 0.473 0.747
Mg 0.222 0.722 0.500
Mg 0.726 0.473 0.253
As 0.308 0.308 0.000

No. 7
A relaxed SmH2O2F crystal. Source: OQMD, functional GGA-PBE.

- E: -6.300 eV per atom
- Total moment: 0.00 μB/f.u.
- Offset from the most stable computed form: 0 meV/atom

a = 6.084 Å, b = 3.641 Å, c = 6.140 Å
α = 90.00°, β = 118.78°, γ = 90.00°
Fractional positions:
Sm 0.164 0.250 0.326
Sm 0.836 0.750 0.674
H 0.243 0.250 0.870
H 0.362 0.750 0.749
H 0.638 0.250 0.251
H 0.757 0.750 0.130
O 0.109 0.250 0.914
O 0.194 0.750 0.607
O 0.806 0.250 0.393
O 0.891 0.750 0.086
F 0.427 0.750 0.309
F 0.573 0.250 0.691

No. 8
A relaxed Hf2Sc4Tl3N3 crystal. Source: OQMD, functional GGA-PBE.

- E: -7.527 eV per atom
- Total moment: 0.00 μB/f.u.

a = 5.712 Å, b = 5.712 Å, c = 15.069 Å
α = 100.99°, β = 100.99°, γ = 60.03°
Fractional positions:
Hf 0.026 0.855 0.578
Hf 0.145 0.974 0.922
Hf 0.855 0.026 0.078
Hf 0.974 0.145 0.422
Sc 0.193 0.366 0.082
Sc 0.310 0.468 0.418
Sc 0.366 0.193 0.582
Sc 0.468 0.310 0.918
Sc 0.532 0.690 0.082
Sc 0.634 0.807 0.418
Sc 0.690 0.532 0.582
Sc 0.807 0.634 0.918
Tl 0.084 0.244 0.749
Tl 0.244 0.084 0.249
Tl 0.413 0.587 0.750
Tl 0.587 0.413 0.250
Tl 0.756 0.916 0.751
Tl 0.916 0.756 0.251
N 0.000 0.500 0.500
N 0.163 0.674 0.000
N 0.326 0.837 0.500
N 0.500 0.000 0.000
N 0.674 0.163 0.500
N 0.837 0.326 0.000

No. 9
A relaxed HoLuGe2Os crystal. Source: OQMD, functional GGA-PBE.

- E: -6.613 eV per atom
- Total moment: 0.01 μB/f.u.
- Offset from the most stable computed form: 0 meV/atom

a = 5.728 Å, b = 5.728 Å, c = 10.015 Å
α = 115.58°, β = 115.58°, γ = 43.90°
Fractional positions:
Ho 0.185 0.185 0.114
Ho 0.815 0.815 0.886
Lu 0.003 0.003 0.673
Lu 0.997 0.997 0.327
Ge 0.360 0.360 0.438
Ge 0.486 0.486 0.125
Ge 0.514 0.514 0.875
Ge 0.640 0.640 0.562
Os 0.269 0.269 0.631
Os 0.731 0.731 0.369

No. 10
A relaxed BaGaAu2 crystal. Source: OQMD, functional GGA-PBE.

- E: -3.387 eV per atom

a = 4.563 Å, b = 6.755 Å, c = 6.789 Å
α = 90.00°, β = 90.00°, γ = 90.00°
Fractional positions:
Ba 0.000 0.105 0.000
Ba 0.500 0.895 0.500
Ga 0.000 0.605 0.204
Ga 0.500 0.395 0.704
Au 0.000 0.272 0.505
Au 0.000 0.610 0.776
Au 0.500 0.390 0.276
Au 0.500 0.728 0.005

No. 11
A relaxed NdDy3Si4 crystal. Source: OQMD, functional GGA-PBE.

- E: -5.840 eV per atom
- Total moment: 0.00 μB/f.u.

a = 5.757 Å, b = 3.862 Å, c = 8.002 Å
α = 90.00°, β = 90.19°, γ = 90.00°
Fractional positions:
Nd 0.000 0.000 0.000
Dy 0.230 0.500 0.360
Dy 0.500 0.500 0.857
Dy 0.728 0.000 0.500
Si 0.243 0.000 0.639
Si 0.487 0.000 0.144
Si 0.738 0.500 0.222
Si 0.986 0.500 0.711

No. 12
A relaxed LiHfIn2Cl6 crystal. Source: OQMD, functional GGA-PBE.

- E: -4.141 eV per atom
- Total moment: 1.00 μB/f.u.

a = 7.104 Å, b = 7.104 Å, c = 7.104 Å
α = 120.05°, β = 120.05°, γ = 89.91°
Fractional positions:
Li 0.000 0.000 0.000
Hf 0.500 0.500 0.000
In 0.250 0.750 0.500
In 0.750 0.250 0.500
Cl 0.244 0.260 0.503
Cl 0.252 0.252 0.000
Cl 0.260 0.756 0.016
Cl 0.740 0.244 0.984
Cl 0.748 0.748 0.000
Cl 0.756 0.740 0.497

No. 13
A relaxed ZrGeNO crystal. Source: OQMD, functional GGA-PBE.

- E: -7.719 eV per atom
- Total moment: 0.00 μB/f.u.
- Offset from the most stable computed form: 153 meV/atom

a = 3.327 Å, b = 6.802 Å, c = 6.342 Å
α = 90.00°, β = 90.00°, γ = 90.00°
Fractional positions:
Zr 0.000 0.171 0.000
Zr 0.000 0.829 0.500
Ge 0.500 0.246 0.436
Ge 0.500 0.754 0.936
N 0.000 0.090 0.328
N 0.000 0.910 0.828
O 0.500 0.299 0.889
O 0.500 0.701 0.389

No. 14
A relaxed Hf2CoSi crystal. Source: OQMD, functional GGA-PBE.

- E: -8.010 eV per atom
- Total moment: 1.79 μB/f.u.

a = 4.476 Å, b = 4.476 Å, c = 4.476 Å
α = 60.00°, β = 60.00°, γ = 60.00°
Fractional positions:
Hf 0.000 0.000 0.000
Hf 0.250 0.250 0.250
Co 0.750 0.750 0.750
Si 0.500 0.500 0.500

No. 15
A relaxed SrTcBi crystal. Source: OQMD, functional GGA-PBE.

- E: -4.149 eV per atom
- Total moment: 3.78 μB/f.u.
- Offset from the most stable computed form: 733 meV/atom

a = 5.258 Å, b = 5.258 Å, c = 5.258 Å
α = 60.00°, β = 60.00°, γ = 60.00°
Fractional positions:
Sr 0.000 0.000 0.000
Tc 0.250 0.250 0.250
Bi 0.750 0.750 0.750

No. 16
A relaxed NbInSi crystal. Source: OQMD, functional GGA-PBE.

- E: -5.690 eV per atom
- Total moment: 0.93 μB/f.u.

a = 4.388 Å, b = 4.388 Å, c = 4.388 Å
α = 60.00°, β = 60.00°, γ = 60.00°
Fractional positions:
Nb 0.000 0.000 0.000
In 0.500 0.500 0.500
Si 0.750 0.750 0.750

No. 17
A relaxed NdDy2PdPt2Pb3 crystal. Source: OQMD, functional GGA-PBE.

- E: -5.522 eV per atom
- Total moment: 0.00 μB/f.u.

a = 4.022 Å, b = 7.787 Å, c = 7.787 Å
α = 120.22°, β = 90.00°, γ = 90.00°
Fractional positions:
Nd 0.000 0.000 0.000
Dy 0.000 0.409 0.818
Dy 0.000 0.818 0.409
Pd 0.000 0.414 0.414
Pt 0.500 0.077 0.736
Pt 0.500 0.736 0.077
Pb 0.500 0.151 0.410
Pb 0.500 0.410 0.151
Pb 0.500 0.668 0.668

No. 18
A relaxed Li2Mg2Ga2PtAu crystal. Source: OQMD, functional GGA-PBE.

- E: -3.373 eV per atom
- Total moment: 0.00 μB/f.u.

a = 4.454 Å, b = 4.454 Å, c = 6.331 Å
α = 90.00°, β = 90.00°, γ = 90.00°
Fractional positions:
Li 0.000 0.000 0.000
Li 0.500 0.500 0.500
Mg 0.000 0.500 0.243
Mg 0.500 0.000 0.757
Ga 0.000 0.500 0.764
Ga 0.500 0.000 0.236
Pt 0.500 0.500 0.000
Au 0.000 0.000 0.500

No. 19
A relaxed ReHgAs crystal. Source: OQMD, functional GGA-PBE.

- E: -4.732 eV per atom
- Total moment: 0.00 μB/f.u.
- Offset from the most stable computed form: 234 meV/atom

a = 4.345 Å, b = 4.345 Å, c = 4.345 Å
α = 60.00°, β = 60.00°, γ = 60.00°
Fractional positions:
Re 0.000 0.000 0.000
Hg 0.500 0.500 0.500
As 0.750 0.750 0.750

No. 20
A relaxed Mg2Au crystal. Source: OQMD, functional GGA-PBE.

- E: -2.433 eV per atom

a = 7.905 Å, b = 4.870 Å, c = 12.106 Å
α = 90.00°, β = 100.57°, γ = 90.00°
Fractional positions:
Mg 0.022 0.250 0.312
Mg 0.040 0.250 0.074
Mg 0.074 0.250 0.570
Mg 0.096 0.250 0.818
Mg 0.269 0.750 0.343
Mg 0.285 0.750 0.107
Mg 0.392 0.250 0.991
Mg 0.393 0.250 0.482
Mg 0.607 0.750 0.518
Mg 0.608 0.750 0.009
Mg 0.715 0.250 0.893
Mg 0.731 0.250 0.657
Mg 0.904 0.750 0.182
Mg 0.926 0.750 0.430
Mg 0.960 0.750 0.926
Mg 0.978 0.750 0.688
Au 0.268 0.750 0.572
Au 0.286 0.750 0.869
Au 0.346 0.250 0.233
Au 0.404 0.250 0.730
Au 0.596 0.750 0.270
Au 0.654 0.750 0.767
Au 0.714 0.250 0.131
Au 0.732 0.250 0.428

No. 21
A relaxed YCdPbSe3 crystal. Source: OQMD, functional GGA-PBE.

- E: -4.486 eV per atom
- Total moment: 0.01 μB/f.u.

a = 7.263 Å, b = 7.263 Å, c = 10.782 Å
α = 90.00°, β = 90.00°, γ = 146.17°
Fractional positions:
Y 0.000 0.000 0.000
Y 0.000 0.000 0.500
Cd 0.467 0.533 0.750
Cd 0.533 0.467 0.250
Pb 0.228 0.772 0.250
Pb 0.772 0.228 0.750
Se 0.092 0.908 0.750
Se 0.359 0.641 0.541
Se 0.359 0.641 0.959
Se 0.641 0.359 0.041
Se 0.641 0.359 0.459
Se 0.908 0.092 0.250

No. 22
A relaxed CdPPtO crystal. Source: OQMD, functional GGA-PBE.

- E: -4.646 eV per atom
- Total moment: 0.00 μB/f.u.
- Offset from the most stable computed form: 105 meV/atom

a = 3.261 Å, b = 7.229 Å, c = 5.662 Å
α = 90.00°, β = 90.00°, γ = 90.00°
Fractional positions:
Cd 0.000 0.193 0.000
Cd 0.000 0.807 0.500
P 0.000 0.442 0.462
P 0.000 0.558 0.962
Pt 0.500 0.227 0.418
Pt 0.500 0.773 0.918
O 0.500 0.050 0.810
O 0.500 0.950 0.310

No. 23
A relaxed KZrAsO crystal. Source: OQMD, functional GGA-PBE.

- E: -6.196 eV per atom
- Total moment: 0.02 μB/f.u.
- Offset from the most stable computed form: 192 meV/atom

a = 3.635 Å, b = 7.091 Å, c = 7.777 Å
α = 90.00°, β = 90.00°, γ = 90.00°
Fractional positions:
K 0.000 0.104 0.000
K 0.000 0.896 0.500
Zr 0.500 0.351 0.376
Zr 0.500 0.649 0.876
As 0.500 0.330 0.711
As 0.500 0.670 0.211
O 0.000 0.227 0.322
O 0.000 0.773 0.822